Entry 1:
Compound: GaNi12Ge3
Source: the Alexandria database
Functional: PBE
Structure: relaxed

```
data_GaNi12Ge3
_chemical_formula_sum 'Ga1 Ni12 Ge3'
_space_group_name_H-M_alt 'P 4/m m m'
_space_group_IT_number 123
_space_group_name_Hall '-P 4 2'
_cell_length_a 3.5769
_cell_length_b 3.5769
_cell_length_c 14.3199
_cell_angle_alpha 90.00
_cell_angle_beta 90.00
_cell_angle_gamma 90.00
loop_
_atom_site_label
_atom_site_type_symbol
_atom_site_fract_x
_atom_site_fract_y
_atom_site_fract_z
Ga1 Ga 0.0000 0.0000 0.0000
Ni1 Ni 0.0000 0.5000 0.1258
Ni2 Ni 0.0000 0.5000 0.3751
Ni3 Ni 0.5000 0.5000 0.0000
Ni4 Ni 0.5000 0.5000 0.2511
Ni5 Ni 0.5000 0.5000 0.5000
Ge1 Ge 0.0000 0.0000 0.2486
Ge2 Ge 0.0000 0.0000 0.5000
```

Values from the calculation:
For the formation energy, the calculation gives -289 meV/atom. The value obtained for the magnetization is 0.7 μB per formula unit. The calculated volume is 183 Å³/f.u. Its calculated density is 9.0 g/cm³. For the final energy, the calculation gives -5.680 eV per atom.


Entry 2:
Compound: InAg2Os
Source: the Alexandria database
Functional: PBE
Structure: relaxed

```
data_InAg2Os
_chemical_formula_sum 'In1 Ag2 Os1'
_space_group_name_H-M_alt 'P m m 2'
_space_group_IT_number 25
_space_group_name_Hall 'P 2 -2'
_cell_length_a 2.8281
_cell_length_b 4.2189
_cell_length_c 5.9141
_cell_angle_alpha 90.00
_cell_angle_beta 90.00
_cell_angle_gamma 90.00
loop_
_atom_site_label
_atom_site_type_symbol
_atom_site_fract_x
_atom_site_fract_y
_atom_site_fract_z
In1 In 0.0000 0.0000 0.0000
Ag1 Ag 0.0000 0.0000 0.5175
Ag2 Ag 0.5000 0.5000 0.2860
Os1 Os 0.5000 0.5000 0.7805
```

Values from the calculation:
For the formation energy, the calculation gives 467 meV/atom. The value obtained for the magnetization is 0.0 μB per formula unit. The calculated volume is 71 Å³/f.u. Its calculated density is 12.3 g/cm³. For the final energy, the calculation gives -4.451 eV per atom.


Entry 3:
Compound: MnAs2Ru
Source: the Alexandria database
Functional: PBE
Structure: relaxed

```
data_MnAs2Ru
_chemical_formula_sum 'Mn2 As4 Ru2'
_space_group_name_H-M_alt 'I m m 2'
_space_group_IT_number 44
_space_group_name_Hall 'I 2 -2'
_cell_length_a 3.2214
_cell_length_b 3.5272
_cell_length_c 10.8075
_cell_angle_alpha 90.00
_cell_angle_beta 90.00
_cell_angle_gamma 90.00
loop_
_atom_site_label
_atom_site_type_symbol
_atom_site_fract_x
_atom_site_fract_y
_atom_site_fract_z
Mn1 Mn 0.0000 0.0000 0.0000
As1 As 0.0000 0.0000 0.5725
As2 As 0.0000 0.5000 0.3247
Ru1 Ru 0.0000 0.5000 0.7367
```

Values from the calculation:
For the formation energy, the calculation gives -83 meV/atom. The value obtained for the magnetization is 2.6 μB per formula unit. The calculated volume is 61 Å³/f.u. Its calculated density is 8.3 g/cm³. For the final energy, the calculation gives -7.019 eV per atom. The distance to the lowest polymorph of the same formula comes out at 1.9 kJ/mol of atoms.


Entry 4:
Compound: K2CaAl
Source: the Alexandria database
Functional: PBE
Structure: relaxed

```
data_K2CaAl
_chemical_formula_sum 'K6 Ca3 Al3'
_space_group_name_H-M_alt 'R -3 m'
_space_group_IT_number 166
_space_group_name_Hall '-R 3 2"'
_cell_length_a 3.8944
_cell_length_b 3.8944
_cell_length_c 39.5722
_cell_angle_alpha 90.00
_cell_angle_beta 90.00
_cell_angle_gamma 120.00
loop_
_atom_site_label
_atom_site_type_symbol
_atom_site_fract_x
_atom_site_fract_y
_atom_site_fract_z
K1 K 0.0000 0.0000 0.2382
Ca1 Ca 0.0000 0.0000 0.0000
Al1 Al 0.0000 0.0000 0.5000
```

Values from the calculation:
For the formation energy, the calculation gives 384 meV/atom. The value obtained for the magnetization is 0.0 μB per formula unit. The calculated volume is 173 Å³/f.u. Its calculated density is 1.4 g/cm³. For the final energy, the calculation gives -1.600 eV per atom.


Entry 5:
Compound: HoPaAu2
Source: the Alexandria database
Functional: PBE
Structure: relaxed

```
data_HoPaAu2
_chemical_formula_sum 'Ho4 Pa4 Au8'
_space_group_name_H-M_alt 'F m -3 m'
_space_group_IT_number 225
_space_group_name_Hall '-F 4 2 3'
_cell_length_a 7.2017
_cell_length_b 7.2017
_cell_length_c 7.2017
_cell_angle_alpha 90.00
_cell_angle_beta 90.00
_cell_angle_gamma 90.00
loop_
_atom_site_label
_atom_site_type_symbol
_atom_site_fract_x
_atom_site_fract_y
_atom_site_fract_z
Ho1 Ho 0.0000 0.0000 0.0000
Pa1 Pa 0.0000 0.0000 0.5000
Au1 Au 0.2500 0.2500 0.2500
```

Values from the calculation:
For the formation energy, the calculation gives -460 meV/atom. The value obtained for the magnetization is 0.6 μB per formula unit. The calculated volume is 93 Å³/f.u. Its calculated density is 14.0 g/cm³. For the final energy, the calculation gives -5.617 eV per atom. The distance to the lowest polymorph of the same formula comes out at 5.5 kJ/mol of atoms.


Entry 6:
Compound: TaGaTc
Source: the Alexandria database
Functional: PBE
Structure: relaxed

```
data_TaGaTc
_chemical_formula_sum 'Ta1 Ga1 Tc1'
_space_group_name_H-M_alt 'P 3 m 1'
_space_group_IT_number 156
_space_group_name_Hall 'P 3 -2"'
_cell_length_a 4.4536
_cell_length_b 4.4536
_cell_length_c 2.7978
_cell_angle_alpha 90.00
_cell_angle_beta 90.00
_cell_angle_gamma 120.00
loop_
_atom_site_label
_atom_site_type_symbol
_atom_site_fract_x
_atom_site_fract_y
_atom_site_fract_z
Ta1 Ta 0.0000 0.0000 0.0000
Ga1 Ga 0.3333 0.6667 0.4685
Tc1 Tc 0.6667 0.3333 0.6885
```

Values from the calculation:
For the formation energy, the calculation gives -137 meV/atom. The value obtained for the magnetization is 0.0 μB per formula unit. The calculated volume is 48 Å³/f.u. Its calculated density is 12.0 g/cm³. For the final energy, the calculation gives -8.552 eV per atom. The distance to the lowest polymorph of the same formula comes out at 11.3 kJ/mol of atoms.


> final energy of number 3 (MnAs2Ru)?

-7.019 eV per atom


> Which value of calculated volume does entry 5 give?

93 Å³/f.u.


> Number 5 is which compound?

HoPaAu2


> Number 5 is which compound?

HoPaAu2